Density functional theory data (GGA-PBE) for a geometry-optimized Er8MgTc2 structure.

Cell and atoms, written as extended XYZ:
```
11
Lattice="4.370 -6.493 0.000 4.370 6.493 0.000 -1.313 0.000 5.357" Properties=species:S:1:pos:R:3 pbc="T T T"
Er -0.091 0.000 4.269
Er 2.095 1.732 2.267
Er 4.370 3.254 0.000
Er 2.095 -1.732 2.267
Er 5.332 1.732 3.090
Er 4.370 -3.254 0.000
Er 5.332 -1.732 3.090
Er 7.518 0.000 1.088
Mg 4.370 0.000 0.000
Tc 3.714 4.103 2.679
Tc 3.714 -4.103 2.679
```

## Properties
DOS at the Fermi energy: 9.615 states/eV/f.u.
Energy: -59.24 eV/cell
Symmetry: C2/m, No. 12
Crystal system: monoclinic
Formation energy from the elements: -0.037 eV per atom